Run P
Here is a geometry-optimized Sr2LiLaH structure from the Alexandria database. Energies are from PBE.

Lattice parameters (Å, degrees): 6.8162 6.8162 4.9759 90.00 90.00 90.00
Last column: nearest neighbours and their distance in Å.
Fractional positions:
Li 0.0000 0.0000 0.5000  2 La 2.49
La 0.0000 0.0000 0.0000  2 Li 2.49
H 0.5000 0.5000 0.5000  8 Sr 4.22
Sr 0.5000 0.0000 0.0000  2 La 3.41
Sr 0.0000 0.5000 0.0000  2 La 3.41

Calculated values
volume	46.24	Å³ per atom
crystal system	tetragonal
ρ	2.31	g/cm3



Run Q
Here is a geometry-optimized Sr2LiLaH structure from the Alexandria database. Energies are from PBE.

Lattice parameters (Å, degrees): 5.8994 5.8994 4.7167 90.00 90.00 90.00
Last column: nearest neighbours and their distance in Å.
Fractional positions:
Sr 0.5000 0.0000 0.0000  2 H 2.95
Sr 0.0000 0.5000 0.0000  2 H 2.95
Li 0.5000 0.5000 0.5000  8 Sr 3.78, 4 La 4.17
H 0.0000 0.0000 0.0000  2 La 2.36
La 0.0000 0.0000 0.5000  2 H 2.36

Calculated values
volume	32.83	Å³ per atom
crystal system	tetragonal
ρ	3.26	g/cm3



Short version: run Q, run P, most stable first.